Crystalline TaCdAsO at its relaxed geometry, computed with PBE.

abc: 3.4717 6.9395 7.2072
angles: 90.00 90.00 90.00
Positions (direct):
As1 0.0000 0.8516 0.4458
As2 0.0000 0.1484 0.9458
Cd1 0.0000 0.7773 0.0528
Cd2 0.0000 0.2227 0.5528
O1 0.5000 0.4617 0.2591
O2 0.5000 0.5383 0.7591
Ta1 0.5000 0.5935 0.4964
Ta2 0.5000 0.4065 0.9964

Values from the calculation:
**Excess energy over the best structure of this formula in the dataset**: 72 meV per atom
**Crystal system**: orthorhombic
**Space-group type**: Pmc2_1, No. 26